No. 1
Below is crystalline Rb2AcZnF6 at its relaxed geometry, with properties calculated at the GGA-PBE level.

Cell: 6.7122 7.6496 9.0598 Å, 90.00 90.00 90.00°
Site moments in Bohr magnetons follow the coordinates.
Fractional positions:
Rb 0.5000 0.8661 0.2430  0.01
Zn 0.0000 0.7346 0.0000  0.31
F 0.0000 0.7472 0.2449  0.04
Ac 0.0000 0.6605 0.5000  0.03
F 0.2400 0.4200 0.5000  0.03
F 0.5000 0.2528 0.2551  0.04
Rb 0.5000 0.8661 0.7570  0.01
F 0.2504 0.8822 0.5000  0.01
Rb 0.0000 0.1339 0.2570  0.01
F 0.7400 0.5800 0.0000  0.03
F 0.7504 0.1178 0.0000  0.01
F 0.7496 0.8822 0.5000  0.01
Rb 0.0000 0.1339 0.7430  0.01
F 0.2600 0.5800 0.0000  0.03
F 0.7600 0.4200 0.5000  0.03
Ac 0.5000 0.3395 0.0000  0.03
F 0.5000 0.2528 0.7449  0.04
Zn 0.5000 0.2654 0.5000  0.31
F 0.0000 0.7472 0.7551  0.04
F 0.2496 0.1178 0.0000  0.01

## Properties
ΔE_f (raw) ... -2.887 eV/atom
Total magnetization ... 1.894 μB per cell
Total energy ... -94.82 eV for the cell shown



No. 2
Below is crystalline CaThMgSn at its relaxed geometry, with properties calculated at the GGA-PBE level.

Cell: 5.4367 5.4367 5.4367 Å, 60.00 60.00 60.00°
Fractional positions:
Sn 0.2500 0.2500 0.2500
Th 0.5000 0.5000 0.5000
Ca 0.0000 0.0000 0.0000
Mg 0.7500 0.7500 0.7500

## Properties
Total magnetization ... 0.000 μB per cell
Formation energy from the elements ... -0.22 eV/atom
Total energy ... -15.89 eV for the cell shown



No. 3
Below is crystalline LiMnCr2 at its relaxed geometry, with properties calculated at the GGA-PBE level.

Cell: 2.9293 2.9293 5.9403 Å, 90.00 90.00 90.00°
Site moments in Bohr magnetons follow the coordinates.
Fractional positions:
Cr 0.0000 0.0000 0.0035  -1.66
Li 0.0000 0.0000 0.5017  -0.03
Cr 0.5000 0.5000 0.2297  2.22
Mn 0.5000 0.5000 0.7651  2.73

## Properties
Total magnetization ... 3.394 μB per cell
Formation energy from the elements ... 0.34 eV/atom
Total energy ... -28.96 eV for the cell shown